! PBE Ag2BiB, optimized geometry; values from VASP
&SYSTEM
  ibrav = 0, nat = 8, ntyp = 3
/
ATOMIC_SPECIES
B 10.81 B.upf
Bi 208.98 Bi.upf
Ag 107.87 Ag.upf
CELL_PARAMETERS angstrom
-1.2015 -1.9279 -4.4558
0.5102 -4.6150 1.8591
-7.1121 -3.2825 0.5310
ATOMIC_POSITIONS angstrom
B -0.3457 -3.2714 -1.2983
B -3.4738 -5.5845 0.5459
Bi -4.3297 -4.2409 -2.6116
Bi 0.0000 0.0000 0.0000
Ag -2.2955 -2.3301 -1.7903
Ag -5.5213 -5.5674 -0.3128
Ag -6.0111 -7.5349 -2.1365
Ag -1.7791 -4.2183 0.1083
! ΔE to the lowest computed polymorph (kJ per mole of atoms): 0.0
! Crystal system: tetragonal
! Spin magnetization (μB per atom): 0.0000

---

! PBE Ag2BiB2, optimized geometry; values from VASP
&SYSTEM
  ibrav = 0, nat = 10, ntyp = 3
/
ATOMIC_SPECIES
Bi 208.98 Bi.upf
Ag 107.87 Ag.upf
B 10.81 B.upf
CELL_PARAMETERS angstrom
6.3358 0.0000 0.0000
0.0000 6.3358 0.0000
0.0000 0.0000 4.1765
ATOMIC_POSITIONS angstrom
Bi 0.0000 0.0000 0.0000
Bi 3.1679 3.1679 0.0000
Ag 2.1424 1.0255 2.0882
Ag 4.1934 5.3103 2.0882
Ag 5.3103 2.1424 2.0882
Ag 1.0255 4.1934 2.0882
B 5.7698 3.7339 0.0000
B 3.7339 0.5660 0.0000
B 2.6019 5.7698 0.0000
B 0.5660 2.6019 0.0000
! ΔE to the lowest computed polymorph (kJ per mole of atoms): 15.0
! Crystal system: tetragonal
! Spin magnetization (μB per atom): 0.0000